# 1
The following is a DFT calculation (PBE-GGA) of an optimized crystal structure of MgInS2.

The structure in extended XYZ format:
```
4
Lattice="4.154 0.000 0.000 2.077 3.597 0.000 2.077 1.199 7.167" Properties=species:S:1:pos:R:3 pbc="T T T"
In 6.231 3.597 0.366
S 4.154 2.398 6.369
S 6.231 3.597 3.160
Mg 4.154 2.398 3.881
```

The formation energy without anion corrections comes out at -0.767 eV per atom. The space-group type is R3m, No. 160.



# 2
The following is a DFT calculation (PBE-GGA) of an optimized crystal structure of MgInS2.

The structure in extended XYZ format:
```
4
Lattice="2.235 0.000 7.463 -1.117 1.935 7.463 -1.117 -1.935 7.463" Properties=species:S:1:pos:R:3 pbc="T T T"
Mg 0.000 0.000 11.195
In 0.000 0.000 0.000
S 0.000 0.000 2.440
S 0.000 0.000 19.950
```

The formation energy without anion corrections comes out at -0.593 eV per atom. The space-group type is R-3m, No. 166.



# 3
The following is a DFT calculation (PBE-GGA) of an optimized crystal structure of MgInS3.

The structure in extended XYZ format:
```
10
Lattice="5.889 3.395 0.003 -5.889 3.395 0.003 0.000 3.244 5.629" Properties=species:S:1:pos:R:3 pbc="T T T"
S 0.000 7.604 4.364
S -2.080 4.459 4.152
S -2.080 5.574 1.483
S 2.080 5.574 1.483
S 2.080 4.459 4.152
S 0.000 2.429 1.271
In 0.000 6.821 1.978
In 0.000 3.212 3.657
Mg 2.014 3.395 0.003
Mg -2.014 3.395 0.003
```

The formation energy without anion corrections comes out at -0.649 eV per atom. The space-group type is C2/m, No. 12.



# 4
The following is a DFT calculation (PBE-GGA) of an optimized crystal structure of Mg3InS.

The structure in extended XYZ format:
```
5
Lattice="5.262 0.000 0.000 0.000 5.262 0.000 0.000 0.000 5.262" Properties=species:S:1:pos:R:3 pbc="T T T"
Mg 2.631 0.000 0.000
Mg 0.000 2.631 0.000
Mg 0.000 0.000 2.631
In 0.000 0.000 0.000
S 2.631 2.631 2.631
```

The formation energy without anion corrections comes out at 0.295 eV per atom. The space-group type is Pm-3m, No. 221.



# 5
The following is a DFT calculation (PBE-GGA) of an optimized crystal structure of MgInS.

The structure in extended XYZ format:
```
6
Lattice="3.804 0.000 0.000 -1.902 3.294 0.000 0.000 0.000 11.929" Properties=species:S:1:pos:R:3 pbc="T T T"
Mg 1.902 1.831 3.369
Mg 1.902 1.831 8.560
In 0.000 2.925 0.000
In 0.000 2.926 5.964
S 0.000 0.733 2.296
S 0.000 0.733 9.633
```

The formation energy without anion corrections comes out at -0.579 eV per atom. The space-group type is P-6m2, No. 187.



# 6
The following is a DFT calculation (PBE-GGA) of an optimized crystal structure of MgInS3.

The structure in extended XYZ format:
```
5
Lattice="-3.614 -2.476 -2.131 2.611 -4.099 0.336 -1.964 -0.892 4.368" Properties=species:S:1:pos:R:3 pbc="T T T"
Mg 0.000 0.000 0.000
S -0.982 -0.446 2.184
S 1.305 -2.049 0.168
S -1.807 -1.238 -1.065
In -1.483 -3.734 1.287
```

The formation energy without anion corrections comes out at 0.022 eV per atom. The space-group type is Pm-3m, No. 221.